Here is a geometry-optimized CrRhN2 structure from the Alexandria database. Energies are from GGA-PBE.

Properties
Magnetic moment = 0.00 Bohr magnetons per cell
Formation energy (no corrections) = -0.070 eV/atom
Polymorph energy (0 for the lowest one) = 0 meV per atom

abc: 4.4890 4.4890 8.8696
angles: 90.00 90.00 90.00
Last column: nearest neighbours and their distance in Å.
Space group I-42d (No. 122)
Symmetry-distinct sites (fractional):
Cr: 0.0000 0.0000 0.0000  4 N 1.83
Rh: 0.0000 0.0000 0.5000  4 N 2.06
N: 0.2045 0.2500 0.1250  2 Cr 1.83